Record 1
{"formula": "Tb3AgPd", "functional": "PBE", "state": "optimized geometry", "lattice_angstrom": [[3.965, 0.000, 0.000], [0.000, 7.296, 4.878], [0.000, -7.296, 4.878]], "species": ["Tb", "Tb", "Tb", "Tb", "Tb", "Tb", "Ag", "Ag", "Pd", "Pd"], "frac_coords": [[0.000, 0.119, 0.881], [0.000, 0.257, 0.495], [0.000, 0.495, 0.257], [0.000, 0.881, 0.119], [0.500, 0.529, 0.847], [0.500, 0.847, 0.529], [0.000, 0.687, 0.687], [0.500, 0.188, 0.188], [0.500, 0.188, 0.688], [0.500, 0.688, 0.188]], "ef_ev_per_atom": -0.29, "polymorph_energy_ev_per_atom": 0.1117, "total_magnetization_mub_per_atom": 0.000}

---

Record 2
{"formula": "TbAgPd2", "functional": "PBE", "state": "optimized geometry", "lattice_angstrom": [[3.542, 0.000, 0.000], [0.000, 3.542, 0.000], [0.000, 0.000, 6.032]], "species": ["Tb", "Ag", "Pd", "Pd"], "frac_coords": [[0.000, 0.000, 0.000], [0.000, 0.000, 0.500], [0.500, 0.500, 0.259], [0.500, 0.500, 0.741]], "ef_ev_per_atom": -0.59, "polymorph_energy_ev_per_atom": 0.0787, "total_magnetization_mub_per_atom": 0.000}

---

Record 3
{"formula": "Tb6AgPd5", "functional": "PBE", "state": "optimized geometry", "lattice_angstrom": [[3.650, -5.742, 0.000], [3.650, 5.742, 0.000], [-1.841, 0.000, 6.996]], "species": ["Tb", "Tb", "Tb", "Tb", "Tb", "Tb", "Ag", "Pd", "Pd", "Pd", "Pd", "Pd"], "frac_coords": [[0.046, 0.400, 0.720], [0.206, 0.206, 0.213], [0.400, 0.046, 0.720], [0.600, 0.954, 0.280], [0.794, 0.794, 0.787], [0.954, 0.600, 0.280], [0.500, 0.500, 0.000], [0.000, 0.000, 0.500], [0.195, 0.805, 0.000], [0.370, 0.630, 0.500], [0.630, 0.370, 0.500], [0.805, 0.195, 0.000]], "ef_ev_per_atom": -0.64, "polymorph_energy_ev_per_atom": 0.1258, "total_magnetization_mub_per_atom": 0.000}

---

Record 4
{"formula": "TbAg7Pd4", "functional": "PBE", "state": "optimized geometry", "lattice_angstrom": [[5.414, -2.561, 0.000], [5.414, 2.561, 0.000], [-5.310, 0.000, 8.378]], "species": ["Tb", "Ag", "Ag", "Ag", "Ag", "Ag", "Ag", "Ag", "Pd", "Pd", "Pd", "Pd"], "frac_coords": [[0.000, 0.000, 0.000], [0.046, 0.046, 0.379], [0.213, 0.213, 0.907], [0.341, 0.341, 0.440], [0.500, 0.500, 0.000], [0.659, 0.659, 0.560], [0.787, 0.787, 0.093], [0.954, 0.954, 0.621], [0.288, 0.288, 0.685], [0.425, 0.425, 0.224], [0.575, 0.575, 0.776], [0.712, 0.712, 0.315]], "ef_ev_per_atom": 0.09, "total_magnetization_mub_per_atom": 0.000}

---

> Which formula does entry 1 have?

Tb3AgPd